## KRe2P (GGA-PBEsol)

Data for a relaxed KRe2P crystal.

a b c (Å): 2.9718 4.7872 9.4616
angles (deg): 90.00 90.00 90.00
Closest atoms and distances in Å follow each position.
Space group Cmmm (No. 65)
One atom of each set of equivalent atoms:
K  0.0000  0.0000  0.0000 [2 per cell]  6 K 2.82-2.97
Re  0.0000  0.5000  0.3095 [4 per cell]  2 P 2.34
P  0.0000  0.0000  0.5000 [2 per cell]  4 Re 2.34

Calculated values
Energy relative to the lowest polymorph listed for this composition = 0.265 eV/atom
Crystal system = orthorhombic
Total energy = -7.63 eV/atom
Energy of formation = 764 meV per atom
N(E_F) = 4.80 states/eV/cell